Entry 1:
Computed, not measured: an optimized crystal structure of LaYW2 at the PBE level of DFT.

Summary:
Energy (eV/atom): -8.3059
N(E_F) (states/eV/cell): 7.93
Calculated volume (Å³ per cell): 89.6
ΔH_f (0 K) (eV per atom): 1.02

Lattice parameters (Å, degrees): 4.9658 4.9658 3.6327 90.00 90.00 90.00
Last column: magnetic moment on the atom in μB.
Fractional coordinates of all 4 atoms:
W (0.0000, 0.0000, 0.0000)  0.33
W (0.5000, 0.5000, 0.0000)  0.33
La (0.0000, 0.5000, 0.5000)  0.06
Y (0.5000, 0.0000, 0.5000)  0.03

Entry 2:
Computed, not measured: an optimized crystal structure of Ba8PtN2 at the PBE level of DFT.

Summary:
Energy (eV/atom): -3.8117
N(E_F) (states/eV/cell): 18.59
Formation energy (no corrections) (eV/atom): -0.35
Calculated volume (Å³ per cell): 1154.1

Lattice parameters (Å, degrees): 9.5423 11.8393 12.1987 75.66 66.98 66.23
Fractional coordinates of all 22 atoms:
N (0.6603, 0.6441, 0.5285)
N (0.1671, 0.1441, 0.0285)
Ba (0.8460, 0.0280, 0.7984)
Ba (0.6915, 0.7270, 0.9605)
Ba (0.3085, 0.2730, 0.0395)
Ba (0.8091, 0.7833, 0.5233)
Ba (0.3276, 0.5280, 0.2984)
N (0.3397, 0.3559, 0.4715)
Ba (0.2959, 0.0586, 0.8259)
Ba (0.3790, 0.7730, 0.5395)
Pt (0.9900, 0.2500, 0.7500)
Ba (0.1157, 0.7167, 0.9767)
Ba (0.1805, 0.4414, 0.6741)
Ba (0.1540, 0.9720, 0.2016)
Ba (0.8843, 0.2833, 0.0233)
Ba (0.6724, 0.4720, 0.7016)
Pt (0.0100, 0.7500, 0.2500)
Ba (0.6210, 0.2270, 0.4605)
Ba (0.1909, 0.2167, 0.4767)
N (0.8329, 0.8559, 0.9715)
Ba (0.7041, 0.9414, 0.1741)
Ba (0.8195, 0.5586, 0.3259)

Entry 3:
Computed, not measured: an optimized crystal structure of NiIrPtRh at the PBE level of DFT.

Summary:
Energy (eV/atom): -7.0490
N(E_F) (states/eV/cell): 5.67
Calculated volume (Å³ per cell): 55.5
ΔH_f (0 K) (eV per atom): -0.04

Lattice parameters (Å, degrees): 2.7220 2.7220 7.4910 90.00 90.00 90.00
Fractional coordinates of all 4 atoms:
Rh (0.5000, 0.5000, 0.3315)
Ir (0.0000, 0.0000, 0.5811)
Ni (0.5000, 0.5000, 0.8129)
Pt (0.0000, 0.0000, 0.0592)

Entry 4:
Computed, not measured: an optimized crystal structure of Be2InN at the PBE level of DFT.

Summary:
Energy (eV/atom): -3.2134
N(E_F) (states/eV/cell): 1.25
Formation energy (no corrections) (eV/atom): 1.42
Calculated volume (Å³ per cell): 50.4

Lattice parameters (Å, degrees): 4.1458 4.1458 4.1458 60.00 60.00 60.00
Fractional coordinates of all 4 atoms:
In (0.5000, 0.5000, 0.5000)
Be (0.7500, 0.7500, 0.7500)
N (0.0000, 0.0000, 0.0000)
Be (0.2500, 0.2500, 0.2500)

Entry 5:
Computed, not measured: an optimized crystal structure of DyErAg2S4 at the PBE level of DFT.

Summary:
Energy (eV/atom): -5.2043
N(E_F) (states/eV/cell): 0.00
Formation energy (no corrections) (eV/atom): -1.28
Calculated volume (Å³ per cell): 171.6

Lattice parameters (Å, degrees): 4.0085 6.5610 6.9294 70.28 90.00 90.00
Fractional coordinates of all 8 atoms:
Ag (0.5000, 0.0000, 0.5000)
Ag (0.0000, 0.0000, 0.0000)
Dy (0.0000, 0.5000, 0.5000)
S (0.5000, 0.7390, 0.2552)
Er (0.5000, 0.5000, 0.0000)
S (0.0000, 0.2617, 0.2409)
S (0.0000, 0.7383, 0.7591)
S (0.5000, 0.2610, 0.7448)

Entry 6:
Computed, not measured: an optimized crystal structure of Zr2Cu2Ir at the PBE level of DFT.

Summary:
Energy (eV/atom): -7.1566
N(E_F) (states/eV/cell): 5.82
Calculated volume (Å³ per cell): 165.4
ΔH_f (0 K) (eV per atom): -0.33

Lattice parameters (Å, degrees): 6.9526 6.9526 3.4215 90.00 90.00 90.00
Fractional coordinates of all 10 atoms:
Cu (0.3782, 0.8782, 0.0000)
Zr (0.3190, 0.1810, 0.5000)
Zr (0.1810, 0.6810, 0.5000)
Cu (0.8782, 0.6218, 0.0000)
Cu (0.1218, 0.3782, 0.0000)
Zr (0.6810, 0.8190, 0.5000)
Cu (0.6218, 0.1218, 0.0000)
Zr (0.8190, 0.3190, 0.5000)
Ir (0.0000, 0.0000, 0.0000)
Ir (0.5000, 0.5000, 0.0000)

Entry 7:
Computed, not measured: an optimized crystal structure of KRe2Sn at the PBE level of DFT.

Summary:
Energy (eV/atom): -6.1658
N(E_F) (states/eV/cell): 8.11
Calculated volume (Å³ per cell): 194.8
ΔH_f (0 K) (eV per atom): 1.33

Lattice parameters (Å, degrees): 4.4274 4.4274 10.4192 77.73 77.73 90.00
Fractional coordinates of all 8 atoms:
Re (0.8750, 0.9979, 0.7500)
K (0.5000, 0.5000, 0.0000)
K (0.2500, 0.7500, 0.5000)
Sn (0.7500, 0.2500, 0.5000)
Re (0.3750, 0.2521, 0.7500)
Re (0.0021, 0.6250, 0.2500)
Sn (0.0000, 0.0000, 0.0000)
Re (0.7479, 0.1250, 0.2500)

Entry 8:
Computed, not measured: an optimized crystal structure of SrSc2Ta at the PBE level of DFT.

Summary:
Energy (eV/atom): -5.8986
N(E_F) (states/eV/cell): 4.64
Calculated volume (Å³ per cell): 100.4
ΔH_f (0 K) (eV per atom): 0.65

Lattice parameters (Å, degrees): 4.8065 4.8065 4.3470 90.00 90.00 90.00
Fractional coordinates of all 4 atoms:
Sc (0.0000, 0.0000, 0.0000)
Sc (0.5000, 0.5000, 0.0000)
Ta (0.0000, 0.5000, 0.5000)
Sr (0.5000, 0.0000, 0.5000)

Entry 9:
Computed, not measured: an optimized crystal structure of Si2AgAs at the PBE level of DFT.

Summary:
Energy (eV/atom): -4.0841
N(E_F) (states/eV/cell): 1.52
Formation energy (no corrections) (eV/atom): 0.50
Calculated volume (Å³ per cell): 70.4

Lattice parameters (Å, degrees): 2.7860 4.6234 5.4662 90.00 90.00 90.00
Fractional coordinates of all 4 atoms:
Si (0.0000, 0.0000, 0.5172)
As (0.5000, 0.5000, 0.7500)
Si (0.0000, 0.0000, 0.9828)
Ag (0.5000, 0.5000, 0.2500)

Entry 10:
Computed, not measured: an optimized crystal structure of ZrNi3Au3 at the PBE level of DFT.

Summary:
Energy (eV/atom): -5.2404
N(E_F) (states/eV/cell): 14.45
Calculated volume (Å³ per cell): 224.0
ΔH_f (0 K) (eV per atom): -0.14

Lattice parameters (Å, degrees): 7.0035 7.0035 7.0035 56.64 56.64 56.64
Fractional coordinates of all 14 atoms:
Au (0.7319, 0.5570, 0.0698)
Au (0.5570, 0.0698, 0.7319)
Ni (0.7300, 0.1819, 0.9245)
Zr (0.3472, 0.3472, 0.3472)
Au (0.2681, 0.4430, 0.9302)
Au (0.9302, 0.2681, 0.4430)
Ni (0.2700, 0.8181, 0.0755)
Ni (0.0755, 0.2700, 0.8181)
Au (0.4430, 0.9302, 0.2681)
Zr (0.6528, 0.6528, 0.6528)
Au (0.0698, 0.7319, 0.5570)
Ni (0.9245, 0.7300, 0.1819)
Ni (0.8181, 0.0755, 0.2700)
Ni (0.1819, 0.9245, 0.7300)

Entry 11:
Computed, not measured: an optimized crystal structure of Ru2PtRh5 at the PBE level of DFT.

Summary:
Energy (eV/atom): -7.3822
N(E_F) (states/eV/cell): 27.38
Calculated volume (Å³ per cell): 244.5
ΔH_f (0 K) (eV per atom): 0.29

Lattice parameters (Å, degrees): 5.4162 11.0222 8.0158 90.00 90.00 149.27
Fractional coordinates of all 16 atoms:
Rh (0.7428, 0.9987, 0.0024)
Rh (0.6451, 0.3698, 0.9014)
Rh (0.7428, 0.9987, 0.4976)
Rh (0.2572, 0.0013, 0.5024)
Ru (0.1439, 0.3671, 0.6047)
Pt (0.9272, 0.2438, 0.2500)
Ru (0.8561, 0.6329, 0.3953)
Rh (0.6451, 0.3698, 0.5986)
Rh (0.3549, 0.6302, 0.0986)
Rh (0.2572, 0.0013, 0.9976)
Ru (0.1439, 0.3671, 0.8953)
Rh (0.4046, 0.2312, 0.2500)
Ru (0.8561, 0.6329, 0.1047)
Pt (0.0728, 0.7562, 0.7500)
Rh (0.5954, 0.7688, 0.7500)
Rh (0.3549, 0.6302, 0.4014)

Entry 12:
Computed, not measured: an optimized crystal structure of Rb3BaW at the PBE level of DFT.

Summary:
Energy (eV/atom): -1.6172
N(E_F) (states/eV/cell): 1.20
Calculated volume (Å³ per cell): 557.8
ΔH_f (0 K) (eV per atom): 1.94

Lattice parameters (Å, degrees): 8.2319 8.2319 8.2319 90.00 90.00 90.00
Last column: magnetic moment on the atom in μB.
Fractional coordinates of all 5 atoms:
Rb (0.0000, 0.0000, 0.5000)  0.03
Rb (0.0000, 0.5000, 0.0000)  0.03
W (0.5000, 0.5000, 0.5000)  3.54
Rb (0.5000, 0.0000, 0.0000)  0.03
Ba (0.0000, 0.0000, 0.0000)  0.27

Entry 13:
Computed, not measured: an optimized crystal structure of SmY4Ho15 at the PBE level of DFT.

Summary:
Energy (eV/atom): -4.9402
N(E_F) (states/eV/cell): 26.50
Calculated volume (Å³ per cell): 627.1
ΔH_f (0 K) (eV per atom): 0.02

Lattice parameters (Å, degrees): 5.0058 5.0058 25.0256 90.00 90.00 90.00
Fractional coordinates of all 20 atoms:
Ho (0.0000, 0.5000, 0.5000)
Ho (0.5000, 0.5000, 0.4000)
Ho (0.5000, 0.5000, 0.7996)
Ho (0.0000, 0.5000, 0.1003)
Ho (0.5000, 0.5000, 0.2004)
Sm (0.0000, 0.0000, 0.0000)
Y (0.0000, 0.0000, 0.4000)
Y (0.0000, 0.0000, 0.7999)
Ho (0.5000, 0.0000, 0.5000)
Ho (0.5000, 0.5000, 0.0000)
Y (0.0000, 0.0000, 0.2001)
Ho (0.5000, 0.0000, 0.8997)
Ho (0.5000, 0.0000, 0.1003)
Ho (0.0000, 0.5000, 0.6999)
Ho (0.0000, 0.5000, 0.8997)
Y (0.0000, 0.0000, 0.6000)
Ho (0.0000, 0.5000, 0.3001)
Ho (0.5000, 0.0000, 0.3001)
Ho (0.5000, 0.0000, 0.6999)
Ho (0.5000, 0.5000, 0.6000)

Entry 14:
Computed, not measured: an optimized crystal structure of Pr4Y7Tm at the PBE level of DFT.

Summary:
Energy (eV/atom): -5.5156
N(E_F) (states/eV/cell): 17.82
Calculated volume (Å³ per cell): 408.3
ΔH_f (0 K) (eV per atom): 0.22

Lattice parameters (Å, degrees): 5.4758 13.4062 6.4019 94.61 64.68 78.22
Fractional coordinates of all 12 atoms:
Y (0.8319, 0.8983, 0.4380)
Pr (0.4148, 0.2622, 0.9081)
Tm (0.0000, 0.0000, 0.0000)
Pr (0.7409, 0.2208, 0.2974)
Y (0.9607, 0.6276, 0.4509)
Y (0.3294, 0.5320, 0.8092)
Y (0.5000, 0.0000, 0.0000)
Y (0.6706, 0.4680, 0.1908)
Y (0.0393, 0.3724, 0.5491)
Y (0.1681, 0.1017, 0.5620)
Pr (0.5852, 0.7378, 0.0919)
Pr (0.2591, 0.7792, 0.7026)

Entry 15:
Computed, not measured: an optimized crystal structure of PmPr5Nd2Sm at the PBE level of DFT.

Summary:
Energy (eV/atom): -4.5098
N(E_F) (states/eV/cell): 29.60
Calculated volume (Å³ per cell): 644.8
ΔH_f (0 K) (eV per atom): 0.26

Lattice parameters (Å, degrees): 8.9127 8.9127 10.2763 115.70 115.70 90.00
Fractional coordinates of all 18 atoms:
Nd (0.1186, 0.3814, 0.0000)
Nd (0.8814, 0.6186, 0.0000)
Pr (0.5000, 0.5000, 0.0000)
Pr (0.0680, 0.5680, 0.7204)
Sm (0.7500, 0.2500, 0.5000)
Nd (0.6186, 0.1186, 0.0000)
Sm (0.2500, 0.7500, 0.5000)
Pm (0.2500, 0.2500, 0.5000)
Pr (0.3476, 0.8476, 0.2796)
Pm (0.7500, 0.7500, 0.5000)
Pr (0.6524, 0.1524, 0.7204)
Pr (0.1524, 0.0680, 0.7204)
Nd (0.3814, 0.8814, 0.0000)
Pr (0.0000, 0.0000, 0.0000)
Pr (0.4320, 0.3476, 0.2796)
Pr (0.8476, 0.9320, 0.2796)
Pr (0.9320, 0.4320, 0.2796)
Pr (0.5680, 0.6524, 0.7204)

Entry 16:
Computed, not measured: an optimized crystal structure of Tb3Sm5Ho2 at the PBE level of DFT.

Summary:
Energy (eV/atom): -4.2796
N(E_F) (states/eV/cell): 30.69
Calculated volume (Å³ per cell): 701.3
ΔH_f (0 K) (eV per atom): 0.38

Lattice parameters (Å, degrees): 10.9561 9.9277 9.9277 56.39 56.51 56.51
Fractional coordinates of all 20 atoms:
Ho (0.1230, 0.7894, 0.9646)
Sm (0.5013, 0.2487, 0.2487)
Tb (0.3756, 0.3757, 0.8732)
Tb (0.1244, 0.1268, 0.6243)
Sm (0.3742, 0.7269, 0.5247)
Tb (0.6244, 0.6243, 0.1268)
Sm (0.2500, 0.5000, 0.5000)
Sm (0.9987, 0.7513, 0.7513)
Sm (0.8742, 0.5247, 0.7269)
Sm (0.1258, 0.4753, 0.2731)
Sm (0.6258, 0.2731, 0.4753)
Sm (0.0013, 0.2487, 0.2487)
Ho (0.8770, 0.2106, 0.0354)
Tb (0.7500, 0.0000, 0.0000)
Sm (0.4987, 0.7513, 0.7513)
Tb (0.8756, 0.8732, 0.3757)
Tb (0.2500, 0.0000, 0.0000)
Ho (0.3770, 0.0354, 0.2106)
Sm (0.7500, 0.5000, 0.5000)
Ho (0.6230, 0.9646, 0.7894)

Entry 17:
Computed, not measured: an optimized crystal structure of NbAs2BrO at the PBE level of DFT.

Summary:
Energy (eV/atom): -4.8686
N(E_F) (states/eV/cell): 3.49
Formation energy (no corrections) (eV/atom): 0.33
Calculated volume (Å³ per cell): 91.1

Lattice parameters (Å, degrees): 4.1000 4.1000 5.4222 90.00 90.00 90.00
Last column: magnetic moment on the atom in μB.
Fractional coordinates of all 5 atoms:
Br (0.0000, 0.0000, 0.5000)  -0.03
Nb (0.5000, 0.5000, 0.5000)  1.42
As (0.0000, 0.5000, 0.0000)  -0.08
As (0.5000, 0.0000, 0.0000)  -0.08
O (0.0000, 0.0000, 0.0000)  -0.03

Entry 18:
Computed, not measured: an optimized crystal structure of Dy6Tm8Th at the PBE level of DFT.

Summary:
Energy (eV/atom): -4.5927
N(E_F) (states/eV/cell): 22.65
Calculated volume (Å³ per cell): 470.9
ΔH_f (0 K) (eV per atom): 0.13

Lattice parameters (Å, degrees): 8.5385 8.5385 8.5385 63.15 63.15 63.15
Fractional coordinates of all 15 atoms:
Tm (0.2505, 0.8883, 0.2810)
Tm (0.5769, 0.5769, 0.5769)
Dy (0.7715, 0.8937, 0.4625)
Tm (0.1117, 0.7190, 0.7495)
Dy (0.2285, 0.1063, 0.5375)
Dy (0.5375, 0.2285, 0.1063)
Tm (0.8883, 0.2810, 0.2505)
Tm (0.7495, 0.1117, 0.7190)
Dy (0.1063, 0.5375, 0.2285)
Tm (0.4231, 0.4231, 0.4231)
Dy (0.4625, 0.7715, 0.8937)
Tm (0.2810, 0.2505, 0.8883)
Th (0.0000, 0.0000, 0.0000)
Tm (0.7190, 0.7495, 0.1117)
Dy (0.8937, 0.4625, 0.7715)

Entry 19:
Computed, not measured: an optimized crystal structure of CuHgSCl at the PBE level of DFT.

Summary:
Energy (eV/atom): -2.9454
Formation energy (no corrections) (eV/atom): -0.35
Calculated volume (Å³ per cell): 379.6

Lattice parameters (Å, degrees): 4.0809 9.2938 10.0096 90.00 90.00 90.00
Fractional coordinates of all 16 atoms:
Cl (0.0000, 0.9706, 0.2500)
Cu (0.0000, 0.2115, 0.9120)
Cl (0.0000, 0.4257, 0.7500)
Hg (0.5000, 0.5000, 0.0000)
Cu (0.0000, 0.2115, 0.5880)
Cl (0.0000, 0.5743, 0.2500)
S (0.5000, 0.2396, 0.0074)
Hg (0.5000, 0.7887, 0.7500)
Cu (0.0000, 0.7885, 0.4120)
Cu (0.0000, 0.7885, 0.0880)
Hg (0.5000, 0.2113, 0.2500)
S (0.5000, 0.7604, 0.9926)
Hg (0.5000, 0.5000, 0.5000)
S (0.5000, 0.7604, 0.5074)
Cl (0.0000, 0.0294, 0.7500)
S (0.5000, 0.2396, 0.4926)

Entry 20:
Computed, not measured: an optimized crystal structure of LiCu6OF11 at the PBE level of DFT.

Summary:
Energy (eV/atom): -4.2600
N(E_F) (states/eV/cell): 6.00
Formation energy (no corrections) (eV/atom): -1.52
Calculated volume (Å³ per cell): 221.3

Lattice parameters (Å, degrees): 4.7748 5.3468 8.6827 92.82 91.39 90.05
Last column: magnetic moment on the atom in μB.
Fractional coordinates of all 19 atoms:
F (0.1838, 0.3402, 0.0777)  0.10
Cu (0.5104, 0.7960, 0.3544)  0.67
F (0.3249, 0.1170, 0.4100)  0.10
Li (0.5175, 0.1943, 0.1506)  0.00
F (0.2125, 0.9538, 0.7561)  0.01
O (0.3052, 0.4567, 0.7496)  0.30
F (0.1898, 0.6157, 0.4255)  0.12
Cu (0.4196, 0.5847, 0.9407)  0.60
Cu (0.0135, 0.6546, 0.6750)  -0.28
Cu (0.4985, 0.1739, 0.6769)  0.53
F (0.8026, 0.0102, 0.2632)  0.10
F (0.6803, 0.4936, 0.2660)  0.10
Cu (0.9990, 0.0299, 0.9975)  0.67
F (0.6753, 0.2157, 0.9463)  0.08
F (0.3203, 0.8583, 0.0948)  0.07
F (0.8079, 0.7243, 0.9212)  0.11
F (0.7063, 0.8692, 0.5991)  0.01
F (0.8062, 0.3641, 0.5940)  0.01
Cu (0.9989, 0.3104, 0.3515)  0.66

Number 1: mass density 11.04 g cm⁻³, M_tot 0.96 μB/cell. Number 2: mass density 3.80 g cm⁻³, M_tot 0.00 μB/cell. Number 3: mass density 16.42 g cm⁻³, M_tot 0.00 μB/cell. Number 4: mass density 4.84 g cm⁻³, M_tot 0.00 μB/cell. Number 5: mass density 6.52 g cm⁻³, M_tot 0.00 μB/cell. Number 6: mass density 10.08 g cm⁻³, M_tot 0.00 μB/cell. Number 7: mass density 9.04 g cm⁻³, M_tot 0.00 μB/cell. Number 8: mass density 5.93 g cm⁻³, M_tot 0.00 μB/cell. Number 9: mass density 5.64 g cm⁻³, M_tot 0.00 μB/cell. Number 10: mass density 12.72 g cm⁻³, M_tot 0.00 μB/cell. Number 11: mass density 12.38 g cm⁻³, M_tot 0.00 μB/cell. Number 12: mass density 1.72 g cm⁻³, M_tot 7.00 μB/cell. Number 13: mass density 7.89 g cm⁻³, M_tot 0.00 μB/cell. Number 14: mass density 5.51 g cm⁻³, M_tot 0.00 μB/cell. Number 15: mass density 6.64 g cm⁻³, M_tot 0.00 μB/cell. Number 16: mass density 7.38 g cm⁻³, M_tot 0.00 μB/cell. Number 17: mass density 6.17 g cm⁻³, M_tot 1.30 μB/cell. Number 18: mass density 9.02 g cm⁻³, M_tot 0.00 μB/cell. Number 19: mass density 5.80 g cm⁻³, M_tot 0.00 μB/cell. Number 20: mass density 4.60 g cm⁻³, M_tot 4.05 μB/cell.